## BeCr2PbO8 (PBE+U)

Data for an optimized crystal structure of BeCr2PbO8.

Geometry as POSCAR:
```
BeCr2PbO8
1.0
5.288 0.000 0.000
-2.644 4.580 0.000
0.000 0.000 6.707
Be Cr Pb O
1 2 1 8
direct
0.000 0.000 0.000 Be
0.333 0.667 0.242 Cr
0.667 0.333 0.758 Cr
0.000 0.000 0.500 Pb
0.153 0.319 0.166 O
0.166 0.847 0.166 O
0.319 0.166 0.834 O
0.333 0.667 0.488 O
0.667 0.333 0.512 O
0.681 0.834 0.166 O
0.834 0.153 0.834 O
0.847 0.681 0.834 O
```

Values from the calculation:
total moment	0.00	μB per atom
total energy	-6.52	eV per atom